No. 1
Material: LaMgRe2Cl
Method: DFT, PBE-GGA
State: relaxed

Output
density of states at the Fermi level	6.329	states/eV per cell
size of the total moment	0.2	μB per cell
uncorrected formation energy	1.00	eV/atom
uncorrected energy	-5.656	eV/atom

The structure in CIF format:
```
data_LaMgRe2Cl
_chemical_formula_sum 'La1 Mg1 Re2 Cl1'
_cell_length_a 4.576
_cell_length_b 4.576
_cell_length_c 4.820
_cell_angle_alpha 90.00
_cell_angle_beta 90.00
_cell_angle_gamma 90.00
_symmetry_space_group_name_H-M 'P 4/m m m'
_symmetry_Int_Tables_number 123
_symmetry_space_group_name_Hall '-P 4 2'
loop_
_atom_site_label
_atom_site_type_symbol
_atom_site_fract_x
_atom_site_fract_y
_atom_site_fract_z
La1 La 0.000 0.000 0.000
Mg1 Mg 0.500 0.500 0.000
Re1 Re 0.000 0.500 0.500
Cl1 Cl 0.500 0.500 0.500
```

No. 2
Material: Rb2NbSeO6
Method: DFT, PBE-GGA
State: relaxed

Output
density of states at the Fermi level	3.938	states/eV per cell
size of the total moment	0.0	μB per cell
uncorrected formation energy	-1.46	eV/atom
uncorrected energy	-5.983	eV/atom

The structure in CIF format:
```
data_Rb2NbSeO6
_chemical_formula_sum 'Rb4 Nb2 Se2 O12'
_cell_length_a 5.716
_cell_length_b 5.716
_cell_length_c 8.074
_cell_angle_alpha 90.00
_cell_angle_beta 90.00
_cell_angle_gamma 90.00
_symmetry_space_group_name_H-M 'I 4/m m m'
_symmetry_Int_Tables_number 139
_symmetry_space_group_name_Hall '-I 4 2'
loop_
_atom_site_label
_atom_site_type_symbol
_atom_site_fract_x
_atom_site_fract_y
_atom_site_fract_z
Rb1 Rb 0.000 0.500 0.250
Nb1 Nb 0.000 0.000 0.000
Se1 Se 0.000 0.000 0.500
O1 O 0.000 0.000 0.253
O2 O 0.247 0.247 0.500
```

No. 3
Material: Ca4AcMg5
Method: DFT, PBE-GGA
State: relaxed

Output
density of states at the Fermi level	11.259	states/eV per cell
size of the total moment	0.1	μB per cell
uncorrected energy	-2.086	eV/atom

The structure in CIF format:
```
data_Ca4AcMg5
_chemical_formula_sum 'Ca4 Ac1 Mg5'
_cell_length_a 4.011
_cell_length_b 4.011
_cell_length_c 19.874
_cell_angle_alpha 90.00
_cell_angle_beta 90.00
_cell_angle_gamma 90.00
_symmetry_space_group_name_H-M 'P 4/m m m'
_symmetry_Int_Tables_number 123
_symmetry_space_group_name_Hall '-P 4 2'
loop_
_atom_site_label
_atom_site_type_symbol
_atom_site_fract_x
_atom_site_fract_y
_atom_site_fract_z
Ca1 Ca 0.000 0.000 0.099
Ca2 Ca 0.000 0.000 0.294
Ac1 Ac 0.000 0.000 0.500
Mg1 Mg 0.500 0.500 0.000
Mg2 Mg 0.500 0.500 0.197
Mg3 Mg 0.500 0.500 0.390
```

No. 4
Material: BeInGe2
Method: DFT, PBE-GGA
State: relaxed

Output
density of states at the Fermi level	6.003	states/eV per cell
size of the total moment	0.0	μB per cell
uncorrected energy	-3.647	eV/atom

The structure in CIF format:
```
data_BeInGe2
_chemical_formula_sum 'Be4 In4 Ge8'
_cell_length_a 4.868
_cell_length_b 4.868
_cell_length_c 14.316
_cell_angle_alpha 90.00
_cell_angle_beta 90.00
_cell_angle_gamma 90.00
_symmetry_space_group_name_H-M 'I -4 2 d'
_symmetry_Int_Tables_number 122
_symmetry_space_group_name_Hall 'I -4 2bw'
loop_
_atom_site_label
_atom_site_type_symbol
_atom_site_fract_x
_atom_site_fract_y
_atom_site_fract_z
Be1 Be 0.000 0.000 0.000
In1 In 0.000 0.000 0.500
Ge1 Ge 0.144 0.250 0.125
```

No. 5
Material: Ag2HgAu5
Method: DFT, PBE-GGA
State: relaxed

Output
density of states at the Fermi level	4.824	states/eV per cell
size of the total moment	0.0	μB per cell
uncorrected energy	-2.807	eV/atom

The structure in CIF format:
```
data_Ag2HgAu5
_chemical_formula_sum 'Ag4 Hg2 Au10'
_cell_length_a 5.987
_cell_length_b 12.037
_cell_length_c 4.100
_cell_angle_alpha 90.00
_cell_angle_beta 90.00
_cell_angle_gamma 90.00
_symmetry_space_group_name_H-M 'P b a m'
_symmetry_Int_Tables_number 55
loop_
_symmetry_equiv_pos_as_xyz
'x,y,z'
'-x,-y,-z'
'-x,-y,z'
'x,y,-z'
'x+1/2,-y+1/2,-z'
'-x+1/2,y+1/2,z'
'-x+1/2,y+1/2,-z'
'x+1/2,-y+1/2,z'
loop_
_atom_site_label
_atom_site_type_symbol
_atom_site_fract_x
_atom_site_fract_y
_atom_site_fract_z
Ag1 Ag 0.248 0.127 0.000
Hg1 Hg 0.000 0.500 0.500
Au1 Au 0.000 0.000 0.500
Au2 Au 0.004 0.250 0.500
Au3 Au 0.243 0.874 0.000
```

No. 6
Material: CsK2Tl2
Method: DFT, PBE-GGA
State: relaxed

Output
density of states at the Fermi level	7.512	states/eV per cell
size of the total moment	0.0	μB per cell
uncorrected energy	-1.527	eV/atom

The structure in CIF format:
```
data_CsK2Tl2
_chemical_formula_sum 'Cs2 K4 Tl4'
_cell_length_a 4.616
_cell_length_b 4.616
_cell_length_c 27.900
_cell_angle_alpha 90.00
_cell_angle_beta 90.00
_cell_angle_gamma 90.00
_symmetry_space_group_name_H-M 'I 4/m m m'
_symmetry_Int_Tables_number 139
_symmetry_space_group_name_Hall '-I 4 2'
loop_
_atom_site_label
_atom_site_type_symbol
_atom_site_fract_x
_atom_site_fract_y
_atom_site_fract_z
Cs1 Cs 0.000 0.000 0.000
K1 K 0.000 0.000 0.358
Tl1 Tl 0.000 0.500 0.250
```

No. 7
Material: PrPa2Re
Method: DFT, PBE-GGA
State: relaxed

Output
density of states at the Fermi level	7.741	states/eV per cell
size of the total moment	0.0	μB per cell
uncorrected energy	-8.903	eV/atom

The structure in CIF format:
```
data_PrPa2Re
_chemical_formula_sum 'Pr1 Pa2 Re1'
_cell_length_a 3.353
_cell_length_b 3.353
_cell_length_c 8.956
_cell_angle_alpha 90.00
_cell_angle_beta 90.00
_cell_angle_gamma 90.00
_symmetry_space_group_name_H-M 'P 4/m m m'
_symmetry_Int_Tables_number 123
_symmetry_space_group_name_Hall '-P 4 2'
loop_
_atom_site_label
_atom_site_type_symbol
_atom_site_fract_x
_atom_site_fract_y
_atom_site_fract_z
Pr1 Pr 0.000 0.000 0.000
Pa1 Pa 0.500 0.500 0.301
Re1 Re 0.000 0.000 0.500
```

No. 8
Material: SrCdAu2
Method: DFT, PBE-GGA
State: relaxed

Output
density of states at the Fermi level	5.773	states/eV per cell
size of the total moment	0.0	μB per cell
uncorrected energy	-2.878	eV/atom

The structure in CIF format:
```
data_SrCdAu2
_chemical_formula_sum 'Sr4 Cd4 Au8'
_cell_length_a 7.701
_cell_length_b 4.776
_cell_length_c 10.705
_cell_angle_alpha 90.00
_cell_angle_beta 90.00
_cell_angle_gamma 90.00
_symmetry_space_group_name_H-M 'P n m a'
_symmetry_Int_Tables_number 62
loop_
_symmetry_equiv_pos_as_xyz
'x,y,z'
'-x,-y,-z'
'-x+1/2,-y,z+1/2'
'x+1/2,y,-z+1/2'
'x+1/2,-y+1/2,-z+1/2'
'-x+1/2,y+1/2,z+1/2'
'-x,y+1/2,-z'
'x,-y+1/2,z'
loop_
_atom_site_label
_atom_site_type_symbol
_atom_site_fract_x
_atom_site_fract_y
_atom_site_fract_z
Sr1 Sr 0.197 0.250 0.169
Cd1 Cd 0.046 0.750 0.397
Au1 Au 0.084 0.250 0.852
Au2 Au 0.228 0.750 0.964
```